Entry 1:
BiSbAs2: relaxed, PBE.

a b c (Å): 4.3986 4.1817 6.0904
angles (deg): 90.00 94.50 90.00
Space group Pm (No. 6)
One atom of each set of equivalent atoms:
Bi 0.0000 0.0000 0.0000 x1
Sb 0.5077 0.5000 0.4934 x1
As 0.4397 0.5000 0.0434 x1
As 0.9217 0.0000 0.5288 x1

Summary:
The offset from the most stable computed form comes out at 0.000 eV per atom. The raw formation energy is -0.0189 eV per atom. The spin magnetization comes out at 0.00 μB/f.u.

***

Entry 2:
BiSb3As: relaxed, PBE.

a b c (Å): 5.3871 5.3871 5.3871
angles (deg): 90.00 90.00 90.00
Space group Pm-3m (No. 221)
One atom of each set of equivalent atoms:
Bi 0.0000 0.0000 0.0000 x1
Sb 0.0000 0.5000 0.5000 x3
As 0.5000 0.5000 0.5000 x1

Summary:
The offset from the most stable computed form comes out at 0.000 eV per atom. The raw formation energy is 0.5567 eV per atom. The spin magnetization comes out at 0.00 μB/f.u.

***

Entry 3:
BiSbAs2: relaxed, PBE.

a b c (Å): 7.1533 7.1533 10.4220
angles (deg): 90.00 90.00 90.00
Space group I-42d (No. 122)
One atom of each set of equivalent atoms:
Bi 0.0000 0.0000 0.0000 x4
Sb 0.0000 0.0000 0.5000 x4
As 0.2347 0.2500 0.6250 x8

Summary:
The offset from the most stable computed form comes out at 0.249 eV per atom. The raw formation energy is 0.2304 eV per atom. The spin magnetization comes out at 0.00 μB/f.u.

***

Entry 4:
BiSb2As2: relaxed, PBE.

a b c (Å): 8.5450 8.5450 3.7517
angles (deg): 90.00 90.00 90.00
Space group P4/mbm (No. 127)
One atom of each set of equivalent atoms:
Bi 0.0000 0.0000 0.0000 x2
Sb 0.1575 0.3425 0.0000 x4
As 0.1823 0.6823 0.5000 x4

Summary:
The offset from the most stable computed form comes out at 0.037 eV per atom. The raw formation energy is 0.2297 eV per atom. The spin magnetization comes out at 0.00 μB/f.u.

***

Entry 5:
BiSbAs: relaxed, PBE.

a b c (Å): 3.7611 3.7611 11.2253
angles (deg): 90.00 90.00 90.00
Space group I4mm (No. 107)
One atom of each set of equivalent atoms:
Bi 0.0000 0.0000 0.0000 x2
Sb 0.0000 0.0000 0.2884 x2
As 0.0000 0.0000 0.6746 x2

Summary:
The offset from the most stable computed form comes out at 0.210 eV per atom. The raw formation energy is 0.2045 eV per atom. The spin magnetization comes out at 0.00 μB/f.u.

***

Entry 6:
BiSbAs2: relaxed, PBE.

a b c (Å): 7.2861 7.2861 7.2861
angles (deg): 90.00 90.00 90.00
Space group Fm-3m (No. 225)
One atom of each set of equivalent atoms:
Bi 0.0000 0.0000 0.0000 x4
Sb 0.0000 0.0000 0.5000 x4
As 0.2500 0.2500 0.2500 x8

Summary:
The offset from the most stable computed form comes out at 0.309 eV per atom. The raw formation energy is 0.2904 eV per atom. The spin magnetization comes out at 0.00 μB/f.u.

***

Entry 7:
BiSbAs: relaxed, PBE.

a b c (Å): 5.5638 5.5638 3.0930
angles (deg): 90.00 90.00 120.00
Space group P-6m2 (No. 187)
One atom of each set of equivalent atoms:
Bi 0.0000 0.0000 0.0000 x1
Sb 0.3333 0.6667 0.0000 x1
As 0.6667 0.3333 0.0000 x1

Summary:
The offset from the most stable computed form comes out at 0.216 eV per atom. The raw formation energy is 0.2111 eV per atom. The spin magnetization comes out at 0.00 μB/f.u.

***

Entry 8:
BiSbAs2: relaxed, PBE.

a b c (Å): 4.0811 4.0811 24.2265
angles (deg): 90.00 90.00 120.00
Space group R3m (No. 160, hexagonal axes)
One atom of each set of equivalent atoms:
Bi 0.0000 0.0000 0.0000 x3
Sb 0.0000 0.0000 0.8224 x3
As 0.0000 0.0000 0.2148 x3
As 0.0000 0.0000 0.3970 x3

Summary:
The offset from the most stable computed form comes out at 0.032 eV per atom. The raw formation energy is 0.0134 eV per atom. The spin magnetization comes out at 0.00 μB/f.u.

***

What is the formula in the second record? BiSb3As